Here is a geometry-optimized LiSm2CuRh2 structure from Alexandria via LeMat-Bulk. Energies are from PBE.

The value obtained for the formation energy is -499 meV per atom. As for the density of states at the Fermi level: 6.51 states/eV per cell.

a = 5.6680 Å, b = 5.6513 Å, c = 8.2792 Å
α = 109.96°, β = 110.02°, γ = 90.00°
Closest atoms and distances in Å follow each position.
Sites, in units of the cell vectors:
Li (0.0000, 0.7500, 0.0000)  4 Rh 2.68, 2 Li 2.83, 2 Cu 2.83
Li (0.0000, 0.2500, 0.0000)  4 Rh 2.68, 2 Li 2.83, 2 Cu 2.83
Sm (0.4254, 0.1674, 0.3349)  5 Rh 2.88-3.02, 2 Cu 3.13, 2 Li 3.17
Sm (0.5746, 0.8326, 0.6651)  5 Rh 2.88-3.02, 2 Cu 3.13, 2 Li 3.17
Sm (0.0905, 0.3326, 0.6651)  5 Rh 2.88-3.02, 2 Cu 3.13, 2 Li 3.17
Sm (0.9095, 0.6674, 0.3349)  5 Rh 2.88-3.02, 2 Cu 3.13, 2 Li 3.17
Cu (0.5000, 0.7500, 0.0000)  4 Rh 2.70, 2 Cu 2.83, 2 Li 2.83
Cu (0.5000, 0.2500, 0.0000)  4 Rh 2.70, 2 Cu 2.83, 2 Li 2.83
Rh (0.8780, 0.1243, 0.2486)  2 Li 2.68, 2 Cu 2.70, 4 Sm 2.88-2.93
Rh (0.3706, 0.6243, 0.2486)  2 Li 2.68, 2 Cu 2.70, 4 Sm 2.88-2.93
Rh (0.6294, 0.3757, 0.7514)  2 Li 2.68, 2 Cu 2.70, 4 Sm 2.88-2.93
Rh (0.1220, 0.8757, 0.7514)  2 Li 2.68, 2 Cu 2.70, 4 Sm 2.88-2.93

=====

Here is a geometry-optimized Sr2GaSn3Au4 structure from Alexandria via LeMat-Bulk. Energies are from PBE.

The value obtained for the formation energy is -554 meV per atom. As for the density of states at the Fermi level: 4.01 states/eV per cell.

a = 4.6472 Å, b = 4.6472 Å, c = 11.5771 Å
α = 90.00°, β = 90.00°, γ = 90.00°
Closest atoms and distances in Å follow each position.
Sites, in units of the cell vectors:
Sr (0.5000, 0.0000, 0.2468)  6 Sn 3.54-3.74, 8 Au 3.58-3.68, 2 Ga 3.74
Sr (0.0000, 0.5000, 0.7532)  6 Sn 3.54-3.74, 8 Au 3.58-3.68, 2 Ga 3.74
Ga (0.5000, 0.5000, 0.5000)  4 Au 2.77
Sn (0.0000, 0.0000, 0.5000)  4 Au 2.77
Sn (0.5000, 0.0000, 0.8660)  5 Au 2.72-2.79
Sn (0.0000, 0.5000, 0.1340)  5 Au 2.72-2.79
Au (0.5000, 0.5000, 0.0000)  4 Sn 2.79
Au (0.0000, 0.0000, 0.0000)  4 Sn 2.79
Au (0.5000, 0.0000, 0.6306)  3 Sn 2.72-2.77, 2 Ga 2.77
Au (0.0000, 0.5000, 0.3694)  3 Sn 2.72-2.77, 2 Ga 2.77

=====

Here is a geometry-optimized FeNi2W structure from Alexandria via LeMat-Bulk. Energies are from PBE.

The value obtained for the formation energy is 90 meV per atom. The calculation puts the energy above the lowest structure with this stoichiometry at 108 meV/atom. As for the density of states at the Fermi level: 4.07 states/eV per cell.

a = 4.5182 Å, b = 4.5182 Å, c = 4.3605 Å
α = 78.54°, β = 78.54°, γ = 34.59°
Closest atoms and distances in Å follow each position.
Sites, in units of the cell vectors:
Fe (0.2500, 0.2500, 0.2500)  6 Ni 2.55-2.63, 4 W 2.56, 2 Fe 2.69
Ni (0.9957, 0.9957, 0.0065)  6 Ni 2.53-2.69, 3 Fe 2.55-2.63, 3 W 2.59-2.62
Ni (0.5043, 0.5043, 0.4935)  6 Ni 2.53-2.69, 3 Fe 2.55-2.63, 3 W 2.59-2.62
W (0.7500, 0.7500, 0.7500)  4 Fe 2.56, 6 Ni 2.59-2.62, 2 W 2.69

=====

Here is a geometry-optimized LaYTeO6 structure from Alexandria via LeMat-Bulk. Energies are from PBE.

The raw formation energy comes out at -56.95 kcal/mol of atoms. As for the density of states at the Fermi level: 0.00 states/eV per cell.

a = 5.6283 Å, b = 5.6283 Å, c = 10.0208 Å
α = 90.00°, β = 90.00°, γ = 120.00°
Closest atoms and distances in Å follow each position.
Sites, in units of the cell vectors:
La (0.0000, 0.0000, 0.0000)  6 O 2.47
La (0.0000, 0.0000, 0.5000)  6 O 2.47
Y (0.3333, 0.6667, 0.2500)  6 O 2.28
Y (0.6667, 0.3333, 0.7500)  6 O 2.28
Te (0.6667, 0.3333, 0.2500)  6 O 1.96
Te (0.3333, 0.6667, 0.7500)  6 O 1.96
O (0.6616, 0.6188, 0.1399)  1 Te 1.96
O (0.9572, 0.3384, 0.1399)  1 Te 1.96
O (0.3384, 0.9572, 0.6399)  1 Te 1.96
O (0.0428, 0.6616, 0.8601)  1 Te 1.96
O (0.3812, 0.3384, 0.3601)  1 Te 1.96
O (0.9572, 0.6188, 0.3601)  1 Te 1.96
O (0.6188, 0.9572, 0.8601)  1 Te 1.96
O (0.6616, 0.0428, 0.3601)  1 Te 1.96
O (0.0428, 0.3812, 0.6399)  1 Te 1.96
O (0.3812, 0.0428, 0.1399)  1 Te 1.96
O (0.6188, 0.6616, 0.6399)  1 Te 1.96
O (0.3384, 0.3812, 0.8601)  1 Te 1.96